Run w
A relaxed YTaW crystal, computed with PBEsol.

* SG: No. 107

Geometry as POSCAR:
```
YTaW
1.0
-1.6836 1.6836 5.3934
1.6836 -1.6836 5.3934
1.6836 1.6836 -5.3934
Y Ta W
1 1 1
Direct
0.0000 0.0000 0.0000 Y
0.7008 0.7008 0.0000 Ta
0.3134 0.3134 0.0000 W
```

***

Run x
A relaxed YTaW crystal, computed with PBEsol.

* SG: No. 156

Geometry as POSCAR:
```
YTaW
1.0
2.9190 0.0000 0.0000
-1.4595 2.5279 0.0000
0.0000 0.0000 7.8511
Y Ta W
1 1 1
Direct
0.0000 0.0000 0.0000 Y
0.3333 0.6667 0.6466 Ta
0.6667 0.3333 0.3399 W
```

***

Run y
A relaxed YTaW crystal, computed with PBEsol.

* SG: No. 216

Geometry as POSCAR:
```
YTaW
1.0
0.0000 3.2064 3.2064
3.2064 0.0000 3.2064
3.2064 3.2064 0.0000
Y Ta W
1 1 1
Direct
0.0000 0.0000 0.0000 Y
0.2500 0.2500 0.2500 Ta
0.7500 0.7500 0.7500 W
```

***

run w (392 meV/atom below the next structure)

***

Run w
A relaxed YTa crystal, computed with PBEsol.

* SG: No. 164

Geometry as POSCAR:
```
YTa
1.0
3.3103 0.0000 0.0000
-1.6552 2.8668 0.0000
0.0000 0.0000 9.8688
Y Ta
2 2
Direct
0.3333 0.6667 0.3458 Y
0.6667 0.3333 0.6542 Y
0.3333 0.6667 0.9023 Ta
0.6667 0.3333 0.0977 Ta
```

***

Run x
A relaxed YTa crystal, computed with PBEsol.

* SG: No. 216

Geometry as POSCAR:
```
YTa
1.0
0.0000 3.1719 3.1719
3.1719 0.0000 3.1719
3.1719 3.1719 0.0000
Y Ta
1 1
Direct
0.0000 0.0000 0.0000 Y
0.2500 0.2500 0.2500 Ta
```

***

run w (2576 meV/atom below the next structure)

***

Run w
A relaxed YZrTa2 crystal, computed with PBEsol.

* SG: No. 225

Geometry as POSCAR:
```
YZrTa2
1.0
0.0000 3.4618 3.4618
3.4618 0.0000 3.4618
3.4618 3.4618 0.0000
Y Zr Ta
1 1 2
Direct
0.0000 0.0000 0.0000 Y
0.5000 0.5000 0.5000 Zr
0.2500 0.2500 0.2500 Ta
0.7500 0.7500 0.7500 Ta
```

***

Run x
A relaxed YZrTa2 crystal, computed with PBEsol.

* SG: No. 71

Geometry as POSCAR:
```
YZrTa2
1.0
-1.6971 2.4129 5.0036
1.6971 -2.4129 5.0036
1.6971 2.4129 -5.0036
Y Zr Ta
1 1 2
Direct
0.0000 0.0000 0.0000 Y
0.5000 0.5000 0.0000 Zr
0.2565 0.7565 0.5000 Ta
0.7435 0.2435 0.5000 Ta
```

***

run x (92 meV/atom below the next structure)

***

Run w
A relaxed YZrTa2 crystal, computed with PBEsol.

* SG: No. 12

Geometry as POSCAR:
```
YZrTa2
1.0
2.9618 -5.0164 0.0000
2.9618 5.0164 0.0000
-0.9193 0.0000 2.7508
Y Zr Ta
1 1 2
Direct
0.0000 0.0000 0.0000 Y
0.5000 0.5000 0.0000 Zr
0.0000 0.5000 0.5000 Ta
0.5000 0.0000 0.5000 Ta
```

***

Run x
A relaxed YZrTa2 crystal, computed with PBEsol.

* SG: No. 25

Geometry as POSCAR:
```
YZrTa2
1.0
2.9470 0.0000 0.0000
0.0000 4.6267 0.0000
0.0000 0.0000 6.1669
Y Zr Ta
1 1 2
Direct
0.0000 0.0000 0.0000 Y
0.5000 0.5000 0.2768 Zr
0.0000 0.0000 0.5179 Ta
0.5000 0.5000 0.7271 Ta
```

***

run x (18 meV/atom below the next structure)

***

Run w
A relaxed YZrTa2 crystal, computed with PBEsol.

* SG: No. 44

Geometry as POSCAR:
```
YZrTa2
1.0
-1.7427 2.4723 4.9416
1.7427 -2.4723 4.9416
1.7427 2.4723 -4.9416
Y Zr Ta
1 1 2
Direct
0.0000 0.0000 0.0000 Y
0.2679 0.7679 0.5000 Zr
0.5356 0.5356 0.0000 Ta
0.7342 0.2342 0.5000 Ta
```

***

Run x
A relaxed YZrTa2 crystal, computed with PBEsol.

* SG: No. 123

Geometry as POSCAR:
```
YZrTa2
1.0
5.2759 0.0000 0.0000
0.0000 5.2759 0.0000
0.0000 0.0000 2.9839
Y Zr Ta
1 1 2
Direct
0.0000 0.0000 0.0000 Y
0.5000 0.5000 0.0000 Zr
0.0000 0.5000 0.5000 Ta
0.5000 0.0000 0.5000 Ta
```

***

Run y
A relaxed YZrTa2 crystal, computed with PBEsol.

* SG: No. 47

Geometry as POSCAR:
```
YZrTa2
1.0
2.9149 0.0000 0.0000
0.0000 4.8147 0.0000
0.0000 0.0000 5.9618
Y Zr Ta
1 1 2
Direct
0.0000 0.0000 0.0000 Y
0.0000 0.0000 0.5000 Zr
0.5000 0.5000 0.2668 Ta
0.5000 0.5000 0.7332 Ta
```

***

run w (67 meV/atom below the next structure)

***

Run w
A relaxed YZr2Ta crystal, computed with PBEsol.

* SG: No. 99

Geometry as POSCAR:
```
YZr2Ta
1.0
3.6430 0.0000 0.0000
0.0000 3.6430 0.0000
0.0000 0.0000 6.9422
Y Zr Ta
1 2 1
Direct
0.0000 0.0000 0.0000 Y
0.0000 0.0000 0.5388 Zr
0.5000 0.5000 0.3085 Zr
0.5000 0.5000 0.7194 Ta
```

***

Run x
A relaxed YZr2Ta crystal, computed with PBEsol.

* SG: No. 166

Geometry as POSCAR:
```
YZr2Ta
1.0
1.5764 0.9101 10.4420
-1.5764 0.9101 10.4420
0.0000 -1.8203 10.4420
Y Zr Ta
1 2 1
Direct
0.0000 0.0000 0.0000 Y
0.2427 0.2427 0.2427 Zr
0.7573 0.7573 0.7573 Zr
0.5000 0.5000 0.5000 Ta
```

***

Run y
A relaxed YZr2Ta crystal, computed with PBEsol.

* SG: No. 38

Geometry as POSCAR:
```
YZr2Ta
1.0
4.9690 0.0000 0.0000
0.0000 1.5489 5.8366
0.0000 -1.5489 5.8366
Y Zr Ta
1 2 1
Direct
0.0000 0.0000 0.0000 Y
0.0000 0.2589 0.2589 Zr
0.5000 0.6479 0.6479 Zr
0.5000 0.3838 0.3838 Ta
```

***

run w (23 meV/atom below the next structure)

***

Run w
A relaxed YZrTa crystal, computed with PBEsol.

* SG: No. 187

Geometry as POSCAR:
```
YZrTa
1.0
4.9731 0.0000 0.0000
-2.4866 4.3068 0.0000
0.0000 0.0000 3.1326
Y Zr Ta
1 1 1
Direct
0.0000 0.0000 0.0000 Y
0.3333 0.6667 0.5000 Zr
0.6667 0.3333 0.5000 Ta
```

***

Run x
A relaxed YZrTa crystal, computed with PBEsol.

* SG: No. 216

Geometry as POSCAR:
```
YZrTa
1.0
0.0000 3.3535 3.3535
3.3535 0.0000 3.3535
3.3535 3.3535 0.0000
Y Zr Ta
1 1 1
Direct
0.0000 0.0000 0.0000 Y
0.5000 0.5000 0.5000 Zr
0.7500 0.7500 0.7500 Ta
```

***

run w (671 meV/atom below the next structure)

***

Run w
A relaxed ZrTaZn crystal, computed with PBEsol.

* SG: No. 216

Geometry as POSCAR:
```
ZrTaZn
1.0
0.0000 3.2112 3.2112
3.2112 0.0000 3.2112
3.2112 3.2112 0.0000
Zr Ta Zn
1 1 1
Direct
0.0000 0.0000 0.0000 Zr
0.2500 0.2500 0.2500 Ta
0.7500 0.7500 0.7500 Zn
```

***

Run x
A relaxed ZrTaZn crystal, computed with PBEsol.

* SG: No. 44

Geometry as POSCAR:
```
ZrTaZn
1.0
-1.5253 1.8665 4.6893
1.5253 -1.8665 4.6893
1.5253 1.8665 -4.6893
Zr Ta Zn
1 1 1
Direct
0.0000 0.0000 0.0000 Zr
0.3206 0.3206 0.0000 Ta
0.6722 0.6722 0.0000 Zn
```

***

Run y
A relaxed ZrTaZn crystal, computed with PBEsol.

* SG: No. 107

Geometry as POSCAR:
```
ZrTaZn
1.0
-1.4257 1.4257 6.4974
1.4257 -1.4257 6.4974
1.4257 1.4257 -6.4974
Zr Ta Zn
1 1 1
Direct
0.0000 0.0000 0.0000 Zr
0.6815 0.6815 0.0000 Ta
0.3341 0.3341 0.0000 Zn
```

***

run y (15 meV/atom below the next structure)

***

Run w
A relaxed ZrTa2 crystal, computed with PBEsol.

* SG: No. 227

Geometry as POSCAR:
```
ZrTa2
1.0
0.0000 3.8881 3.8881
3.8881 0.0000 3.8881
3.8881 3.8881 0.0000
Zr Ta
2 4
Direct
0.1250 0.1250 0.1250 Zr
0.8750 0.8750 0.8750 Zr
0.0000 0.5000 0.5000 Ta
0.5000 0.0000 0.5000 Ta
0.5000 0.5000 0.0000 Ta
0.5000 0.5000 0.5000 Ta
```

***

Run x
A relaxed ZrTa2 crystal, computed with PBEsol.

* SG: No. 12

Geometry as POSCAR:
```
ZrTa2
1.0
5.2727 -1.6600 0.0000
5.2727 1.6600 0.0000
-2.3140 0.0000 6.5198
Zr Ta
2 4
Direct
0.1608 0.1608 0.0856 Zr
0.8392 0.8392 0.9144 Zr
0.1653 0.1653 0.5733 Ta
0.4972 0.4972 0.2760 Ta
0.5028 0.5028 0.7240 Ta
0.8347 0.8347 0.4267 Ta
```

***

run w (13 meV/atom below the next structure)

***

Run w
A relaxed ZrTa2 crystal, computed with PBEsol.

* SG: No. 194

Geometry as POSCAR:
```
ZrTa2
1.0
5.5296 0.0000 0.0000
-2.7648 4.7888 0.0000
0.0000 0.0000 17.7087
Zr Ta
8 16
Direct
0.0000 0.0000 0.0937 Zr
0.0000 0.0000 0.4063 Zr
0.0000 0.0000 0.5937 Zr
0.0000 0.0000 0.9063 Zr
0.3333 0.6667 0.1566 Zr
0.3333 0.6667 0.3434 Zr
0.6667 0.3333 0.6566 Zr
0.6667 0.3333 0.8434 Zr
0.0000 0.5000 0.0000 Ta
0.0000 0.5000 0.5000 Ta
0.1621 0.3242 0.7500 Ta
0.1621 0.8379 0.7500 Ta
0.3242 0.1621 0.2500 Ta
0.3333 0.6667 0.6262 Ta
0.3333 0.6667 0.8738 Ta
0.5000 0.0000 0.0000 Ta
0.5000 0.0000 0.5000 Ta
0.5000 0.5000 0.0000 Ta
0.5000 0.5000 0.5000 Ta
0.6667 0.3333 0.1262 Ta
0.6667 0.3333 0.3738 Ta
0.6758 0.8379 0.7500 Ta
0.8379 0.1621 0.2500 Ta
0.8379 0.6758 0.2500 Ta
```

***

Run x
A relaxed ZrTa2 crystal, computed with PBEsol.

* SG: No. 139

Geometry as POSCAR:
```
ZrTa2
1.0
-1.6686 1.6686 5.1464
1.6686 -1.6686 5.1464
1.6686 1.6686 -5.1464
Zr Ta
1 2
Direct
0.0000 0.0000 0.0000 Zr
0.3197 0.3197 0.0000 Ta
0.6803 0.6803 0.0000 Ta
```

***

run w (35 meV/atom below the next structure)

***

Run w
A relaxed TcTe crystal, computed with PBEsol.

* SG: No. 63

Geometry as POSCAR:
```
TcTe
1.0
1.6568 -5.1977 0.0000
1.6568 5.1977 0.0000
0.0000 0.0000 4.2114
Tc Te
2 2
Direct
0.0850 0.9150 0.7500 Tc
0.9150 0.0850 0.2500 Tc
0.3520 0.6480 0.7500 Te
0.6480 0.3520 0.2500 Te
```

***

Run x
A relaxed TcTe crystal, computed with PBEsol.

* SG: No. 227

Geometry as POSCAR:
```
TcTe
1.0
0.0000 3.3343 3.3343
3.3343 0.0000 3.3343
3.3343 3.3343 0.0000
Tc Te
2 2
Direct
0.1250 0.1250 0.1250 Tc
0.8750 0.8750 0.8750 Tc
0.3750 0.3750 0.3750 Te
0.6250 0.6250 0.6250 Te
```

***

Run y
A relaxed TcTe crystal, computed with PBEsol.

* SG: No. 8

Geometry as POSCAR:
```
TcTe
1.0
6.8462 -1.5621 0.0000
6.8462 1.5621 0.0000
-2.2939 0.0000 5.7788
Tc Te
3 3
Direct
0.0000 0.0000 0.0000 Tc
0.0532 0.0532 0.6132 Tc
0.4027 0.4027 0.6621 Tc
0.4236 0.4236 0.2507 Te
0.6561 0.6561 0.9800 Te
0.7272 0.7272 0.5346 Te
```

***

run y (81 meV/atom below the next structure)

***

Run w
A relaxed Tc3Te crystal, computed with PBEsol.

* SG: No. 12

Geometry as POSCAR:
```
Tc3Te
1.0
4.6302 -1.4842 0.0000
4.6302 1.4842 0.0000
-0.5993 0.0000 4.5596
Tc Te
3 1
Direct
0.0000 0.0000 0.0000 Tc
0.2648 0.2648 0.7778 Tc
0.7352 0.7352 0.2222 Tc
0.5000 0.5000 0.5000 Te
```

***

Run x
A relaxed Tc3Te crystal, computed with PBEsol.

* SG: No. 187

Geometry as POSCAR:
```
Tc3Te
1.0
2.9404 0.0000 0.0000
-1.4702 2.5464 0.0000
0.0000 0.0000 8.4514
Tc Te
3 1
Direct
0.0000 0.0000 0.0000 Tc
0.6667 0.3333 0.2400 Tc
0.6667 0.3333 0.7600 Tc
0.0000 0.0000 0.5000 Te
```

***

run w (135 meV/atom below the next structure)